10
Lattice="-0.778 3.472 -4.829 -3.621 -5.395 -3.295 -6.251 2.488 2.795" Properties=species:S:1:pos:R:3 comment="Tl4Hg GGA-PBE optimized geometry" formation_enthalpy_0k_ev_per_atom=0.0355 dft_energy_ev_per_fu=-9.6 magmom_total_mub_per_cell=0.00 pbc="T T T"
Tl -7.854 -0.525 -1.114
Tl -5.392 -2.758 -3.116
Tl -3.278 2.535 -3.098
Tl -7.731 -0.364 -4.466
Tl -3.942 -0.618 -5.259
Tl -7.067 2.790 -2.305
Tl -2.436 -0.517 -1.981
Tl -4.897 1.716 0.021
Hg -4.936 -1.454 -0.250
Hg 0.000 0.000 0.000



16
Lattice="4.125 0.000 0.000 -2.063 5.580 0.000 0.000 0.000 14.337" Properties=species:S:1:pos:R:3 comment="Pr3Si3Ni2 GGA-PBE optimized geometry" dft_energy_ev_per_fu=-47.6 magmom_total_mub_per_cell=0.00 raw_formation_energy_ev_per_atom=-0.678 pbc="T T T"
Pr 2.063 4.775 5.652
Pr 0.000 0.805 12.820
Pr 2.063 4.775 1.517
Pr 0.000 0.805 8.685
Pr 2.063 1.506 3.584
Pr 0.000 4.074 10.753
Si 2.063 1.810 6.613
Si 0.000 3.770 13.782
Si 2.063 1.810 0.555
Si 0.000 3.770 7.724
Si 0.000 3.714 3.584
Si 2.063 1.866 10.753
Ni 2.063 3.131 12.871
Ni 0.000 2.449 5.702
Ni 2.063 3.131 8.635
Ni 0.000 2.449 1.466



10
Lattice="-1.704 -3.431 4.136 4.137 -3.707 0.962 2.564 3.988 4.361" Properties=species:S:1:pos:R:3 comment="Zr3CdC GGA-PBE optimized geometry" formation_enthalpy_0k_ev_per_atom=-0.4119 dft_energy_ev_per_fu=-37.8 magmom_total_mub_per_cell=0.00 pbc="T T T"
C 3.373 -1.971 5.111
C 0.453 -1.833 6.698
Zr 2.534 -0.934 6.963
Zr 2.765 -0.186 3.837
Zr 1.292 -2.869 4.846
Zr 5.455 -1.072 5.376
Zr 4.213 -3.007 3.259
Zr 3.982 -3.755 6.385
Cd 2.700 -5.749 4.205
Cd 1.484 -2.180 1.656



5
Lattice="-2.195 -0.804 3.906 -1.114 -4.158 -1.482 3.169 -4.585 3.490" Properties=species:S:1:pos:R:3 comment="BaBe2Tl2 GGA-PBE optimized geometry" formation_enthalpy_0k_ev_per_atom=0.1509 dft_energy_ev_per_fu=-13.4 magmom_total_mub_per_cell=0.00 pbc="T T T"
Be -0.340 -3.935 4.304
Be 0.200 -5.612 1.610
Tl -0.273 -3.083 1.864
Tl 0.133 -6.464 4.050
Ba 0.000 0.000 0.000



9
Lattice="5.879 -0.006 -0.008 -2.827 5.155 0.008 -2.827 -1.803 4.829" Properties=species:S:1:pos:R:3 comment="Dy2Ga2Ru4C GGA-PBE optimized geometry" formation_enthalpy_0k_ev_per_atom=-0.1576 dft_energy_ev_per_fu=-63.0 magmom_total_mub_per_cell=0.00 pbc="T T T"
Dy -4.029 2.388 3.447
Dy -1.626 0.964 1.391
Ga 0.112 3.412 1.209
Ga 0.112 -0.067 3.620
Ru -2.827 3.506 1.151
Ru -1.222 2.554 3.687
Ru -2.827 -0.154 3.687
Ru 1.446 0.791 1.142
C 0.000 0.000 0.000



4
Lattice="3.581 0.000 0.000 0.000 3.581 0.000 0.000 0.000 8.941" Properties=species:S:1:pos:R:3 comment="EuEr2Zn GGA-PBE optimized geometry" formation_enthalpy_0k_ev_per_atom=-0.1144 dft_energy_ev_per_fu=-21.1 magmom_total_mub_per_cell=7.53 pbc="T T T"
Eu 1.791 1.791 4.471
Zn 1.791 1.791 0.000
Er 0.000 0.000 7.248
Er 0.000 0.000 1.694



14
Lattice="-1.109 6.167 1.924 -3.219 -2.218 5.261 1.796 1.935 5.998" Properties=species:S:1:pos:R:3 comment="Ho2ReN4 GGA-PBE optimized geometry" dft_energy_ev_per_fu=-60.9 magmom_total_mub_per_cell=0.00 raw_formation_energy_ev_per_atom=-0.850 pbc="T T T"
Ho -1.266 2.942 6.592
Ho 0.344 4.051 3.961
Ho 1.796 1.935 5.998
Ho 1.242 5.018 6.960
Re -1.635 5.461 9.471
Re -0.896 0.423 3.713
N -2.558 -0.082 4.372
N 0.027 5.966 8.812
N -1.699 0.729 7.433
N -0.234 1.840 4.715
N -1.071 0.946 1.939
N -2.297 4.043 8.469
N -0.832 5.154 5.751
N -1.461 4.938 11.245



8
Lattice="-1.442 -4.830 -2.015 3.541 -2.440 3.314 -3.373 -4.133 5.008" Properties=species:S:1:pos:R:3 comment="RbVB2 GGA-PBE optimized geometry" formation_enthalpy_0k_ev_per_atom=1.2190 dft_energy_ev_per_fu=-18.6 magmom_total_mub_per_cell=0.00 pbc="T T T"
B -0.942 -3.152 0.909
B 0.830 -4.367 2.569
B -0.860 -6.435 5.070
B -1.577 -8.853 4.066
Rb 0.000 0.000 0.000
Rb -1.883 -6.299 1.821
V 1.049 -3.635 0.649
V 0.609 -5.104 4.486



5
Lattice="4.695 0.000 0.000 0.000 4.695 0.000 0.000 0.000 4.695" Properties=species:S:1:pos:R:3 comment="CuSe3O GGA-PBE optimized geometry" dft_energy_ev_per_fu=-14.3 magmom_total_mub_per_cell=0.00 raw_formation_energy_ev_per_atom=1.048 pbc="T T T"
O 2.347 2.347 2.347
Cu 0.000 0.000 0.000
Se 0.000 2.347 0.000
Se 0.000 0.000 2.347
Se 2.347 0.000 0.000



8
Lattice="-2.622 3.257 2.453 -3.146 -3.469 1.244 2.035 -5.306 9.219" Properties=species:S:1:pos:R:3 comment="Ho2Tm4ZrSc GGA-PBE optimized geometry" formation_enthalpy_0k_ev_per_atom=0.0581 dft_energy_ev_per_fu=-41.5 magmom_total_mub_per_cell=0.00 pbc="T T T"
Ho 2.035 -5.306 9.219
Ho -0.293 -1.024 5.836
Tm -0.865 -6.572 7.801
Tm -2.868 1.053 5.115
Tm -3.127 -2.311 4.516
Tm -0.607 -3.208 8.400
Zr -0.556 -4.388 5.231
Sc -0.849 -5.412 11.067



12
Lattice="6.665 0.000 -0.001 0.000 3.282 0.000 -0.034 0.000 8.427" Properties=species:S:1:pos:R:3 comment="VSiS GGA-PBE optimized geometry" dft_energy_ev_per_fu=-19.9 magmom_total_mub_per_cell=0.00 raw_formation_energy_ev_per_atom=-0.411 pbc="T T T"
S 0.954 0.000 0.430
S 0.937 1.641 4.643
S 5.537 0.000 2.422
S 5.520 1.641 6.635
Si 2.278 0.000 7.146
Si 2.295 1.641 2.933
Si 3.758 0.000 3.880
Si 3.740 1.641 8.094
V 5.863 0.000 4.971
V 5.880 1.641 0.758
V 3.254 0.000 1.386
V 3.237 1.641 5.600



4
Lattice="9.077 0.026 0.015 8.557 3.029 0.015 8.557 1.482 2.641" Properties=species:S:1:pos:R:3 comment="CaScOs2 GGA-PBE optimized geometry" formation_enthalpy_0k_ev_per_atom=0.3595 dft_energy_ev_per_fu=-29.4 magmom_total_mub_per_cell=0.00 pbc="T T T"
Sc 6.548 1.134 0.668
Ca 19.644 3.402 2.004
Os 26.045 4.511 2.656
Os 13.243 2.294 1.351